Entry 1:
Ho2GePd | PBE | optimized geometry

Cell lengths 4.4477, 4.4477, 16.5110 Å; angles 90.00, 90.00, 120.00 degrees
With the nearest neighbours (Å) after each atom.
Space group R3m (No. 160, hexagonal axes)
Asymmetric unit:
1 Ho 0.0000 0.0000 0.0000 [3 per cell]  3 Pd 2.89, 1 Ho 3.21, 3 Ge 3.23
2 Ho 0.0000 0.0000 0.1942 [3 per cell]  3 Ge 2.85, 3 Pd 3.18
3 Ge 0.0000 0.0000 0.7854 [3 per cell]  3 Pd 2.64, 3 Ho 2.85
4 Pd 0.0000 0.0000 0.4139 [3 per cell]  3 Ge 2.64, 3 Ho 2.89

Computed properties:
DFT formation energy, eV/atom: -0.652
V, Å³ per cell: 282.9
N(E_F), states/eV/f.u.: 1.76
VASP energy, eV/cell: -64.7



Entry 2:
NaSCl | PBE | optimized geometry

Cell lengths 5.3814, 5.3816, 12.4727 Å; angles 90.00, 101.85, 90.00 degrees
With the nearest neighbours (Å) after each atom.
Space group C2/m (No. 12)
Asymmetric unit:
1 Na 0.1964 0.0000 0.3876 [4 per cell]  5 Cl 2.69-2.88
2 S 0.0373 0.5000 0.0778 [4 per cell]  1 S 1.90
3 Cl 0.1910 0.5000 0.3766 [4 per cell]  5 Na 2.69-2.88

Computed properties:
Offset from the most stable computed form, eV per formula unit: 0.000
Raw formation energy, eV/atom: -0.997
V, Å³ per cell: 353.5
N(E_F), states/eV/f.u.: 1.29
VASP energy, eV/cell: -41.1



Entry 3:
ErCd3F8 | PBE | optimized geometry

Cell lengths 5.5626, 5.5626, 5.5626 Å; angles 90.00, 90.00, 90.00 degrees
With the nearest neighbours (Å) after each atom.
Space group Pm-3m (No. 221)
Asymmetric unit:
1 Er 0.0000 0.0000 0.0000 [1 per cell]  8 F 2.30
2 Cd 0.0000 0.5000 0.5000 [3 per cell]  8 F 2.45
3 F 0.2387 0.2387 0.2387 [8 per cell]  1 Er 2.30, 3 Cd 2.45

Computed properties:
Raw formation energy, eV/atom: -2.679
V, Å³ per cell: 172.1
N(E_F), states/eV/f.u.: 0.82
VASP energy, eV/cell: -54.4



Entry 4:
LaBeBi3 | PBE | optimized geometry

Cell lengths 6.1797, 6.1797, 6.1797 Å; angles 90.00, 90.00, 90.00 degrees
With the nearest neighbours (Å) after each atom.
Space group Pm-3m (No. 221)
Asymmetric unit:
1 La 0.0000 0.0000 0.0000 [1 per cell]  6 Bi 3.09
2 Be 0.5000 0.5000 0.5000 [1 per cell]  12 Bi 4.37
3 Bi 0.0000 0.0000 0.5000 [3 per cell]  2 La 3.09

Computed properties:
DFT formation energy, eV/atom: 1.046
Offset from the most stable computed form, eV per formula unit: 5.435
V, Å³ per cell: 236.0
N(E_F), states/eV/f.u.: 4.16
VASP energy, eV/cell: -15.1



Q: Which of these has the lowest V?
A: ErCd3F8